## YAsW2 (GGA-PBE)

Data for crystalline YAsW2 at its relaxed geometry.

a b c (Å): 3.0296 5.0321 4.9802
angles (deg): 90.00 91.94 90.00
Closest atoms and distances in Å follow each position.
Space group P2/m (No. 10)
One atom of each set of equivalent atoms:
1 Y 0.0000 0.0000 0.0000 x1  4 As 2.87-2.96, 2 Y 3.03, 4 W 3.06
2 As 0.5000 0.0000 0.5000 x1  4 W 2.83, 4 Y 2.87-2.96, 2 As 3.03
3 W 0.3829 0.5000 0.7479 x2  2 W 2.59, 2 As 2.83

Results
DFT formation energy in meV per atom: 323